Record 1
DFT (PBE) results for an optimized crystal structure of Na2TlOsO6.

```
10
Lattice="5.729 0.000 -0.259 0.000 5.773 0.000 -2.539 -2.887 4.134" Properties=species:S:1:pos:R:3 pbc="T T T"
Na 0.012 0.000 1.981
Na 3.178 2.887 1.893
Tl 2.865 0.000 -0.130
Os 0.000 2.887 0.000
O 0.875 2.887 1.694
O -1.355 -1.331 3.511
O 4.545 1.555 0.363
O -1.355 1.331 3.511
O 4.545 4.218 0.363
O 2.315 0.000 2.180
```

Computed properties:
formation energy without anion corrections	-1.09	eV/atom
theoretical density	6.70	g/cm3

Record 2
DFT (PBE) results for an optimized crystal structure of Na2NbAsN.

```
5
Lattice="6.206 0.000 0.000 0.000 6.206 0.000 0.000 0.000 4.944" Properties=species:S:1:pos:R:3 pbc="T T T"
Na 0.000 3.103 0.000
Na 3.103 0.000 0.000
Nb 0.000 0.000 0.000
As 0.000 0.000 2.472
N 3.103 3.103 2.472
```

Computed properties:
formation energy without anion corrections	1.50	eV/atom
theoretical density	1.99	g/cm3

Record 3
DFT (PBE) results for an optimized crystal structure of MnInCl.

```
3
Lattice="8.187 -0.029 0.017 7.188 3.140 0.139 0.998 -1.519 2.784" Properties=species:S:1:pos:R:3 pbc="T T T"
Cl 1.609 -1.322 2.673
In 5.388 -0.105 1.982
Mn 10.375 1.500 1.070
```

Computed properties:
formation energy without anion corrections	-0.11	eV/atom
theoretical density	4.63	g/cm3